Mg2NiAg: optimized geometry, PBE-GGA.

Calculated values
- SG = F-43m (216)
- uncorrected energy (eV/f.u.) = -11.99
- DOS at the Fermi energy (states/eV/f.u.) = 2.42
- energy of formation from the pure elements (kJ/mol of formula units) = -16

Unit cell a=6.411 b=6.411 c=6.411 alpha=90.00 beta=90.00 gamma=90.00
Fractional coordinates of all 16 atoms:
Mg (0.000, 0.000, 0.000)
Mg (0.000, 0.500, 0.500)
Mg (0.250, 0.250, 0.250)
Mg (0.250, 0.750, 0.750)
Mg (0.500, 0.000, 0.500)
Mg (0.500, 0.500, 0.000)
Mg (0.750, 0.250, 0.750)
Mg (0.750, 0.750, 0.250)
Ni (0.000, 0.000, 0.500)
Ni (0.000, 0.500, 0.000)
Ni (0.500, 0.000, 0.000)
Ni (0.500, 0.500, 0.500)
Ag (0.250, 0.250, 0.750)
Ag (0.250, 0.750, 0.250)
Ag (0.750, 0.250, 0.250)
Ag (0.750, 0.750, 0.750)



NaHfBi2: optimized geometry, PBE-GGA.

Calculated values
- SG = P4/mmm (123)
- uncorrected energy (eV/f.u.) = -19.75
- DOS at the Fermi energy (states/eV/f.u.) = 2.26
- energy of formation from the pure elements (kJ/mol of formula units) = -69
- energy relative to the lowest polymorph listed for this composition (meV/atom) = 0

Unit cell a=3.448 b=3.448 c=9.121 alpha=90.00 beta=90.00 gamma=90.00
Fractional coordinates of all 4 atoms:
Na (0.000, 0.000, 0.000)
Hf (0.000, 0.000, 0.500)
Bi (0.500, 0.500, 0.271)
Bi (0.500, 0.500, 0.729)